DFT (GGA-PBE) results for a geometry-optimized Nd2PaSnO8 structure.

Output
* crystal system: monoclinic
* raw formation energy: -2.7812 eV per atom
* V: 13.978 Å³/atom
* E: -8.006 eV/atom
* DOS(E_F): 9.4 states/eV per cell

a b c (Å): 3.790 5.545 8.020
angles (deg): 95.73 90.00 90.03
Last column: magnetic moment on the atom in μB.
Element x y z (fractional)
O: 0.000 0.274 0.711  0.10
O: 0.000 0.726 0.289  0.10
O: 0.501 0.775 0.025  0.20
Nd: 0.500 0.482 0.248  0.00
Pa: 0.000 0.000 0.500  -0.02
O: 0.500 0.230 0.478  0.09
O: 0.500 0.770 0.522  0.09
Nd: 0.500 0.518 0.752  0.00
O: 0.499 0.225 0.975  0.20
O: 0.000 0.192 0.230  0.07
O: 0.000 0.808 0.770  0.07
Sn: 0.000 0.000 0.000  -0.01